[1]
An optimized crystal structure of HgBSe2. Source: Alexandria via LeMat-Bulk, functional PBE-GGA.

Cell lengths 5.866, 9.602, 5.961 Å; angles 90.00, 90.00, 90.00 degrees
Fractional coordinates of all 16 atoms:
Hg: 0.001 0.094 0.000
Hg: 0.499 0.594 0.500
Hg: 0.501 0.406 0.000
Hg: 0.999 0.906 0.500
B: 0.021 0.374 0.616
B: 0.479 0.874 0.116
B: 0.521 0.126 0.616
B: 0.979 0.626 0.116
Se: 0.008 0.420 0.967
Se: 0.161 0.800 0.005
Se: 0.339 0.300 0.505
Se: 0.492 0.920 0.467
Se: 0.508 0.080 0.967
Se: 0.661 0.700 0.005
Se: 0.839 0.200 0.505
Se: 0.992 0.580 0.467

As for the symmetry: No. 33. The energy above the lowest structure with this stoichiometry is 0.0 meV per atom. The calculation puts the energy relative to the elements, uncorrected at 0.12 eV/atom.



[2]
An optimized crystal structure of Hg3BSe4. Source: Alexandria via LeMat-Bulk, functional PBE-GGA.

Cell lengths 8.627, 7.135, 6.903 Å; angles 90.00, 90.00, 90.00 degrees
Fractional coordinates of all 16 atoms:
Hg: 0.000 0.183 0.000
Hg: 0.241 0.288 0.445
Hg: 0.259 0.712 0.945
Hg: 0.500 0.817 0.500
Hg: 0.741 0.712 0.945
Hg: 0.759 0.288 0.445
B: 0.000 0.810 0.462
B: 0.500 0.190 0.962
Se: 0.000 0.078 0.576
Se: 0.000 0.804 0.158
Se: 0.195 0.668 0.560
Se: 0.305 0.332 0.060
Se: 0.500 0.196 0.658
Se: 0.500 0.922 0.076
Se: 0.695 0.332 0.060
Se: 0.805 0.668 0.560

As for the symmetry: No. 31. The calculation puts the energy relative to the elements, uncorrected at -0.07 eV/atom.



[3]
An optimized crystal structure of HgB2Se. Source: Alexandria via LeMat-Bulk, functional PBE-GGA.

Cell lengths 4.418, 4.418, 4.418 Å; angles 60.00, 60.00, 60.00 degrees
Fractional coordinates of all 4 atoms:
Hg: 0.000 0.000 0.000
B: 0.250 0.250 0.250
B: 0.750 0.750 0.750
Se: 0.500 0.500 0.500

As for the symmetry: No. 225. The energy above the lowest structure with this stoichiometry is 910.0 meV per atom. The calculation puts the energy relative to the elements, uncorrected at 1.80 eV/atom.



[4]
An optimized crystal structure of HgB2Se4. Source: Alexandria via LeMat-Bulk, functional PBE-GGA.

Cell lengths 8.334, 8.334, 11.812 Å; angles 124.93, 124.93, 51.37 degrees
Fractional coordinates of all 14 atoms:
Hg: 0.000 0.000 0.000
Hg: 0.749 0.251 0.500
B: 0.443 0.461 0.670
B: 0.522 0.040 0.829
B: 0.539 0.557 0.330
B: 0.960 0.478 0.171
Se: 0.193 0.224 0.106
Se: 0.257 0.736 0.272
Se: 0.264 0.743 0.728
Se: 0.286 0.264 0.772
Se: 0.631 0.164 0.606
Se: 0.736 0.714 0.228
Se: 0.776 0.807 0.894
Se: 0.836 0.369 0.394

As for the symmetry: No. 5. The energy above the lowest structure with this stoichiometry is 111.6 meV per atom. The calculation puts the energy relative to the elements, uncorrected at 0.13 eV/atom.



[5]
An optimized crystal structure of HgBSe2. Source: Alexandria via LeMat-Bulk, functional PBE-GGA.

Cell lengths 4.815, 4.815, 4.815 Å; angles 60.00, 60.00, 60.00 degrees
Fractional coordinates of all 4 atoms:
Hg: 0.000 0.000 0.000
B: 0.500 0.500 0.500
Se: 0.250 0.250 0.250
Se: 0.750 0.750 0.750

As for the symmetry: No. 225. The energy above the lowest structure with this stoichiometry is 1043.6 meV per atom. The calculation puts the energy relative to the elements, uncorrected at 1.17 eV/atom.



[6]
An optimized crystal structure of HgBSe2. Source: Alexandria via LeMat-Bulk, functional PBE-GGA.

Cell lengths 6.124, 6.124, 6.124 Å; angles 116.93, 116.93, 95.40 degrees
Fractional coordinates of all 8 atoms:
Hg: 0.000 0.000 0.000
Hg: 0.750 0.250 0.500
B: 0.250 0.750 0.500
B: 0.500 0.500 0.000
Se: 0.233 0.125 0.608
Se: 0.375 0.767 0.892
Se: 0.517 0.625 0.392
Se: 0.875 0.483 0.108

As for the symmetry: No. 122. The energy above the lowest structure with this stoichiometry is 3.4 meV per atom. The calculation puts the energy relative to the elements, uncorrected at 0.13 eV/atom.



[7]
An optimized crystal structure of HgB2Se4. Source: Alexandria via LeMat-Bulk, functional PBE-GGA.

Cell lengths 4.897, 4.897, 6.281 Å; angles 90.00, 90.00, 90.00 degrees
Fractional coordinates of all 7 atoms:
Hg: 0.000 0.000 0.000
B: 0.000 0.500 0.500
B: 0.500 0.000 0.500
Se: 0.273 0.273 0.305
Se: 0.273 0.727 0.695
Se: 0.727 0.273 0.695
Se: 0.727 0.727 0.305

As for the symmetry: No. 111. The energy above the lowest structure with this stoichiometry is 0.0 meV per atom. The calculation puts the energy relative to the elements, uncorrected at 0.02 eV/atom.



[8]
An optimized crystal structure of HgB2Se. Source: Alexandria via LeMat-Bulk, functional PBE-GGA.

Cell lengths 5.924, 5.924, 5.924 Å; angles 127.13, 127.13, 78.04 degrees
Fractional coordinates of all 8 atoms:
Hg: 0.000 0.000 0.000
Hg: 0.750 0.250 0.500
B: 0.156 0.625 0.031
B: 0.375 0.406 0.531
B: 0.594 0.125 0.969
B: 0.875 0.844 0.469
Se: 0.250 0.750 0.500
Se: 0.500 0.500 0.000

As for the symmetry: No. 122. The energy above the lowest structure with this stoichiometry is 0.0 meV per atom. The calculation puts the energy relative to the elements, uncorrected at 0.89 eV/atom.



[9]
An optimized crystal structure of Hg3BSe. Source: Alexandria via LeMat-Bulk, functional PBE-GGA.

Cell lengths 5.584, 5.584, 5.584 Å; angles 90.00, 90.00, 90.00 degrees
Fractional coordinates of all 5 atoms:
Hg: 0.000 0.000 0.500
Hg: 0.000 0.500 0.000
Hg: 0.500 0.000 0.000
B: 0.500 0.500 0.500
Se: 0.000 0.000 0.000

As for the symmetry: No. 221. The energy above the lowest structure with this stoichiometry is 703.8 meV per atom. The calculation puts the energy relative to the elements, uncorrected at 1.26 eV/atom.



[10]
An optimized crystal structure of Hg2BSe. Source: Alexandria via LeMat-Bulk, functional PBE-GGA.

Cell lengths 4.923, 4.923, 4.923 Å; angles 60.00, 60.00, 60.00 degrees
Fractional coordinates of all 4 atoms:
Hg: 0.250 0.250 0.250
Hg: 0.750 0.750 0.750
B: 0.000 0.000 0.000
Se: 0.500 0.500 0.500

As for the symmetry: No. 225. The energy above the lowest structure with this stoichiometry is 490.3 meV per atom. The calculation puts the energy relative to the elements, uncorrected at 1.15 eV/atom.



[11]
An optimized crystal structure of ZrHg2BSe. Source: Alexandria via LeMat-Bulk, functional PBE-GGA.

Cell lengths 4.256, 4.256, 5.992 Å; angles 90.00, 90.00, 90.00 degrees
Fractional coordinates of all 5 atoms:
Zr: 0.000 0.000 0.000
Hg: 0.000 0.500 0.500
Hg: 0.500 0.000 0.500
B: 0.500 0.500 0.500
Se: 0.500 0.500 0.000

As for the symmetry: No. 123. The calculation puts the energy relative to the elements, uncorrected at 0.53 eV/atom.



[12]
An optimized crystal structure of Si3HgB. Source: Alexandria via LeMat-Bulk, functional PBE-GGA.

Cell lengths 5.033, 5.033, 5.033 Å; angles 90.00, 90.00, 90.00 degrees
Fractional coordinates of all 5 atoms:
Si: 0.000 0.000 0.500
Si: 0.000 0.500 0.000
Si: 0.500 0.000 0.000
Hg: 0.000 0.000 0.000
B: 0.500 0.500 0.500

As for the symmetry: No. 221. The energy above the lowest structure with this stoichiometry is 1450.2 meV per atom. The calculation puts the energy relative to the elements, uncorrected at 2.18 eV/atom.